ZrReAu: relaxed, PBE.

CIF file:
```
data_ZrReAu
_symmetry_space_group_name_H-M 'I 4 m m'
_symmetry_Int_Tables_number 107
_symmetry_space_group_name_Hall 'I 4 -2'
_cell_length_a 2.849
_cell_length_b 2.849
_cell_length_c 13.197
_cell_angle_alpha 90.00
_cell_angle_beta 90.00
_cell_angle_gamma 90.00
loop_
_atom_site_label
_atom_site_fract_x
_atom_site_fract_y
_atom_site_fract_z
_atom_site_occupancy
Zr1 0.000 0.000 0.000 1
Re1 0.000 0.000 0.332 1
Au1 0.000 0.000 0.673 1
```

Calculated values
The calculation puts the energy relative to the elements at 0.12 eV per atom. Its spin magnetization is 0.000 μB per cell.